1.
# MgSbOs | the Alexandria database | GGA-PBE | relaxed
data_MgSbOs
_symmetry_space_group_name_H-M 'P 3 m 1'
_symmetry_Int_Tables_number 156
_cell_length_a 3.2027
_cell_length_b 3.2027
_cell_length_c 6.6920
_cell_angle_alpha 90.00
_cell_angle_beta 90.00
_cell_angle_gamma 120.00
loop_
_symmetry_equiv_pos_as_xyz
'x,y,z'
'-y,x-y,z'
'-x+y,-x,z'
'-y,-x,z'
'-x+y,y,z'
'x,x-y,z'
loop_
_atom_site_label
_atom_site_type_symbol
_atom_site_fract_x
_atom_site_fract_y
_atom_site_fract_z
Mg1 Mg 0.0000 0.0000 0.0000
Sb1 Sb 0.3333 0.6667 0.5898
Os1 Os 0.6667 0.3333 0.3042
# * raw formation energy: 256 meV per atom
# * electronic total energy: -5.393 eV per atom

2.
# Al2SbBr | the Alexandria database | GGA-PBE | relaxed
data_Al2SbBr
_symmetry_space_group_name_H-M 'I m m m'
_symmetry_Int_Tables_number 71
_symmetry_space_group_name_Hall '-I 2 2'
_cell_length_a 3.281
_cell_length_b 5.166
_cell_length_c 11.260
_cell_angle_alpha 90.00
_cell_angle_beta 90.00
_cell_angle_gamma 90.00
loop_
_atom_site_label
_atom_site_type_symbol
_atom_site_fract_x
_atom_site_fract_y
_atom_site_fract_z
Al1 Al 0.000 0.000 0.226
Sb1 Sb 0.000 0.500 0.500
Br1 Br 0.000 0.500 0.000
# * distance to the lowest polymorph of the same formula: 34.3 kJ per mole of atoms
# * raw formation energy: 224 meV per atom
# * electronic total energy: -3.096 eV per atom

3.
# CsTlPb3 | the Alexandria database | GGA-PBE | relaxed
data_CsTlPb3
_symmetry_space_group_name_H-M 'P m -3 m'
_symmetry_Int_Tables_number 221
_symmetry_space_group_name_Hall '-P 4 2 3'
_cell_length_a 6.372
_cell_length_b 6.372
_cell_length_c 6.372
_cell_angle_alpha 90.00
_cell_angle_beta 90.00
_cell_angle_gamma 90.00
loop_
_atom_site_label
_atom_site_type_symbol
_atom_site_fract_x
_atom_site_fract_y
_atom_site_fract_z
Cs1 Cs 0.000 0.000 0.000
Tl1 Tl 0.500 0.500 0.500
Pb1 Pb 0.000 0.000 0.500
# * distance to the lowest polymorph of the same formula: 111.5 kJ per mole of atoms
# * electronic total energy: -1.819 eV per atom
# * formation energy from the elements: 1050 meV/atom

4.
# TmPd8Pt2 | the Alexandria database | GGA-PBE | relaxed
data_TmPd8Pt2
_symmetry_space_group_name_H-M 'C 1 2/m 1'
_symmetry_Int_Tables_number 12
_cell_length_a 7.307
_cell_length_b 14.039
_cell_length_c 4.884
_cell_angle_alpha 90.00
_cell_angle_beta 131.77
_cell_angle_gamma 90.00
loop_
_symmetry_equiv_pos_as_xyz
'x,y,z'
'-x,-y,-z'
'-x,y,-z'
'x,-y,z'
'x+1/2,y+1/2,z'
'-x+1/2,-y+1/2,-z'
'-x+1/2,y+1/2,-z'
'x+1/2,-y+1/2,z'
loop_
_atom_site_label
_atom_site_type_symbol
_atom_site_fract_x
_atom_site_fract_y
_atom_site_fract_z
Tm1 Tm 0.000 0.000 0.000
Pd1 Pd 0.000 0.191 0.000
Pd2 Pd 0.016 0.500 0.266
Pd3 Pd 0.241 0.144 0.745
Pt1 Pt 0.000 0.325 0.500
# * distance to the lowest polymorph of the same formula: 2.9 kJ per mole of atoms
# * electronic total energy: -5.474 eV per atom
# * formation energy from the elements: -192 meV/atom

Spin magnetization: 0.00 0.00 0.00 0.00 (μB/cell)